Compound: LiVO2F2
Source: the Alexandria database
Functional: GGA+U
Structure: optimized geometry

## Properties
total energy	-0.22608	Ha/atom
DOS(E_F)	0.000	states/eV/f.u.
M_tot	0.00	μB per atom
relative energy among the computed polymorphs	0.027	eV per atom
space group	Pca2_1
calculated volume	13.04	Å³ per atom
crystal system	orthorhombic

Cell: 5.3014 6.1412 9.6146 Å, 90.00 90.00 90.00°
Fractional coordinates of all 24 atoms:
O: 0.6961 0.5546 0.7925
O: 0.9543 0.7431 0.0158
O: 0.6961 0.0546 0.7075
O: 0.0457 0.7431 0.5158
O: 0.3039 0.5546 0.2925
O: 0.9543 0.2431 0.4842
O: 0.0457 0.2431 0.9842
O: 0.3039 0.0546 0.2075
F: 0.6289 0.9150 0.4559
F: 0.3711 0.4150 0.5441
F: 0.6289 0.4150 0.0441
F: 0.1861 0.0235 0.6877
F: 0.3711 0.9150 0.9559
F: 0.8139 0.0235 0.1877
F: 0.1861 0.5235 0.8123
F: 0.8139 0.5235 0.3123
Li: 0.4051 0.7909 0.7752
Li: 0.4051 0.2909 0.7248
Li: 0.5949 0.2909 0.2248
Li: 0.5949 0.7909 0.2752
V: 0.8868 0.5096 0.9258
V: 0.8868 0.0096 0.5742
V: 0.1132 0.0096 0.0742
V: 0.1132 0.5096 0.4258